Computed, not measured: a relaxed structure of Co2BiPbF8 at the PBE with a Hubbard U level of DFT.

a b c (Å): 4.113 5.557 8.081
angles (deg): 82.25 87.93 81.66
Fractional positions:
Co (0.450, 0.457, 0.717)
Co (0.550, 0.543, 0.283)
Bi (0.000, 0.000, 0.000)
Pb (0.000, 0.000, 0.500)
F (0.063, 0.726, 0.262)
F (0.557, 0.766, 0.051)
F (0.888, 0.249, 0.213)
F (0.937, 0.274, 0.738)
F (0.443, 0.234, 0.949)
F (0.112, 0.751, 0.787)
F (0.551, 0.725, 0.509)
F (0.449, 0.275, 0.491)

Results
- Raw total energy: -57.4 eV per cell
- Density: 6.291 g cm⁻³
- Space group: P-1 (2)
- Total magnetic moment: 0.420 μB/atom